First-principles (PBE) data for a geometry-optimized ZrCoBiPd structure, as listed in OQMD.

Output
space group	F-43m (216)
offset from the most stable computed form	0.165	eV/atom

Unit cell a=4.6910 b=4.6910 c=4.6910 alpha=60.00 beta=60.00 gamma=60.00
Fractional positions:
1 Zr 0.0000 0.0000 0.0000
2 Co 0.5000 0.5000 0.5000
3 Bi 0.2500 0.2500 0.2500
4 Pd 0.7500 0.7500 0.7500